Entry 1:
## TbErCdTc (PBE)

Data for an optimized crystal structure of TbErCdTc.

The structure belongs to space group F-43m (No. 216); the cell edges are 7.1117, 7.1117 and 7.1117 Å and the angles 90.00°, 90.00° and 90.00°. Symmetry generates all atoms from Tb at (0.0000, 0.0000, 0.0000), Er at (0.0000, 0.0000, 0.5000), Cd at (0.2500, 0.2500, 0.2500) and Tc at (0.2500, 0.2500, 0.7500).

The density of states at the Fermi level comes out at 0.72 states/eV/atom. For the formation energy from the elements, the calculation gives -0.102 eV/atom. The total energy comes out at -5.22 eV per atom. Its theoretical density is 9.9 g cm⁻³.



Entry 2:
## MnAgSe2 (PBE)

Data for an optimized crystal structure of MnAgSe2.

The structure belongs to space group I-42d (No. 122); the cell edges are 5.7868, 5.7868 and 10.8985 Å and the angles 90.00°, 90.00° and 90.00°. Symmetry generates all atoms from Mn at (0.0000, 0.0000, 0.0000), Ag at (0.0000, 0.0000, 0.5000) and Se at (0.1941, 0.2500, 0.1250).

The density of states at the Fermi level comes out at 1.04 states/eV/atom. For the formation energy (no corrections), the calculation gives -0.02 eV per atom. The total energy comes out at -4.77 eV per atom. Its theoretical density is 5.8 g cm⁻³.



Entry 3:
## Hg2Os3 (PBE)

Data for an optimized crystal structure of Hg2Os3.

The structure belongs to space group Fdd2 (No. 43); the cell edges are 9.7561, 13.5789 and 5.4591 Å and the angles 90.00°, 90.00° and 90.00°. Symmetry generates all atoms from Hg at (0.0801, 0.1977, 0.0000), Os at (0.0000, 0.0000, 0.1723) and Os at (0.0817, 0.1203, 0.5087).

The density of states at the Fermi level comes out at 0.88 states/eV/atom. For the formation energy from the elements, the calculation gives 1.014 eV/atom. The total energy comes out at -5.84 eV per atom. Its theoretical density is 17.9 g cm⁻³. The energy above the most stable polymorph in this dataset is 0.281 eV/atom.